No. 1
VASP calculation (PBE) on LiSc2S after structural relaxation.

POSCAR file:
```
LiSc2S
1.0
1.999 0.000 9.124
-1.000 1.732 9.124
-1.000 -1.732 9.124
Sc S Li
2 1 1
Direct
0.888 0.888 0.888
0.112 0.112 0.112
0.500 0.500 0.500
0.000 0.000 0.000
```

Properties
ρ, g/cm³: 2.26
Energy relative to the elements, uncorrected, kJ/mol of atoms: -66.7
N(E_F), states/eV per cell: 2.3
Total magnetic moment, μB/f.u.: 0.0
DFT total energy, Ry per atom: -0.3945
SG: R-3m (166)

No. 2
VASP calculation (PBE) on LiScSeS after structural relaxation.

POSCAR file:
```
LiScSeS
1.0
-1.389 -2.045 -2.857
2.206 -2.494 -1.786
-1.486 -5.960 2.489
Li Sc Se S
1 1 1 1
Direct
0.004 0.004 0.988
0.495 0.495 0.514
0.247 0.247 0.258
0.753 0.753 0.741
```

Properties
ρ, g/cm³: 3.50
Energy relative to the elements, uncorrected, kJ/mol of atoms: -161.9
Total magnetic moment, μB/f.u.: 0.0
DFT total energy, Ry per atom: -0.4147
SG: R3m (160)

No. 3
VASP calculation (PBE) on Li3Sc3SiS8 after structural relaxation.

POSCAR file:
```
Li3Sc3SiS8
1.0
7.288 0.000 0.000
-3.644 6.312 -0.023
0.000 -4.188 6.116
Li Sc Si S
3 3 1 8
Direct
0.000 0.000 0.000
0.000 0.500 0.000
0.500 0.500 0.000
0.500 0.000 0.500
0.500 0.500 0.500
0.000 0.500 0.500
0.000 0.000 0.500
0.253 0.507 0.261
0.747 0.493 0.739
0.773 0.547 0.275
0.227 0.453 0.725
0.773 0.002 0.275
0.227 0.998 0.725
0.229 0.002 0.275
0.771 0.998 0.725
```

Properties
ρ, g/cm³: 2.61
Energy relative to the elements, uncorrected, kJ/mol of atoms: -144.0
Total magnetic moment, μB/f.u.: 0.0
DFT total energy, Ry per atom: -0.4193
SG: R-3m (166)

No. 4
VASP calculation (PBE) on Li2ScSiS after structural relaxation.

POSCAR file:
```
Li2ScSiS
1.0
-1.944 1.911 -3.370
1.020 -3.994 -2.853
-3.772 -1.792 1.160
Sc S Si Li
1 1 1 2
Direct
0.000 0.500 0.000
0.000 0.000 0.000
0.500 0.500 0.500
0.000 0.000 0.500
0.500 0.000 0.000
```

Properties
ρ, g/cm³: 2.10
Energy relative to the elements, uncorrected, kJ/mol of atoms: -61.0
N(E_F), states/eV per cell: 2.4
Total magnetic moment, μB/f.u.: 0.6
DFT total energy, Ry per atom: -0.3362
SG: P4/mmm (123)

No. 5
VASP calculation (PBE) on LiSmSc4S8 after structural relaxation.

POSCAR file:
```
LiSmSc4S8
1.0
7.606 0.000 0.000
3.803 6.587 0.000
3.803 2.196 6.426
Li Sm Sc S
1 1 4 8
Direct
0.374 0.374 0.878
0.003 0.003 0.992
0.628 0.628 0.117
0.006 0.483 0.506
0.483 0.006 0.506
0.006 0.006 0.506
0.253 0.769 0.724
0.769 0.253 0.724
0.253 0.253 0.724
0.241 0.241 0.277
0.746 0.234 0.274
0.234 0.746 0.274
0.746 0.746 0.274
0.759 0.759 0.724
```

Properties
ρ, g/cm³: 3.06
Energy relative to the elements, uncorrected, kJ/mol of atoms: -177.1
N(E_F), states/eV per cell: 0.0
Total magnetic moment, μB/f.u.: 0.0
DFT total energy, Ry per atom: -0.4760
SG: R3m (160)

No. 6
VASP calculation (PBE) on LiSmScS3 after structural relaxation.

POSCAR file:
```
LiSmScS3
1.0
3.764 0.000 0.000
0.000 7.783 0.008
0.000 -2.046 8.043
Li Sm Sc S
2 2 2 6
Direct
0.250 0.092 0.589
0.750 0.908 0.411
0.250 0.197 0.230
0.750 0.803 0.770
0.250 0.663 0.157
0.750 0.337 0.843
0.750 0.898 0.129
0.250 0.102 0.871
0.250 0.773 0.494
0.750 0.227 0.506
0.750 0.440 0.168
0.250 0.560 0.832
```

Properties
ρ, g/cm³: 4.21
Energy relative to the elements, uncorrected, kJ/mol of atoms: -171.0
N(E_F), states/eV per cell: 5.7
Total magnetic moment, μB/f.u.: 0.0
DFT total energy, Ry per atom: -0.4408
SG: P2_1/m (11)

No. 7
VASP calculation (PBE) on LiSm2ScS5 after structural relaxation.

POSCAR file:
```
LiSm2ScS5
1.0
-1.381 3.120 1.865
-4.094 0.082 -7.221
-8.418 -6.535 4.698
Li Sm Sc S
2 4 2 10
Direct
0.519 0.039 0.977
0.481 0.961 0.477
0.871 0.743 0.798
0.107 0.214 0.686
0.129 0.257 0.298
0.893 0.786 0.186
0.802 0.604 0.506
0.198 0.396 0.006
0.360 0.721 0.999
0.692 0.385 0.854
0.498 0.996 0.780
0.283 0.566 0.657
0.947 0.894 0.567
0.640 0.279 0.499
0.308 0.615 0.354
0.502 0.004 0.280
0.717 0.434 0.157
0.053 0.106 0.067
```

Properties
ρ, g/cm³: 4.66
Energy relative to the elements, uncorrected, kJ/mol of atoms: -181.0
Total magnetic moment, μB/f.u.: 0.0
DFT total energy, Ry per atom: -0.4508
SG: Cmc2_1 (36)

No. 8
VASP calculation (PBE) on Li2SmScS4 after structural relaxation.

POSCAR file:
```
Li2SmScS4
1.0
3.857 0.000 0.000
0.000 6.682 0.112
0.000 -2.331 6.106
Li Sm Sc S
2 1 1 4
Direct
0.500 0.000 0.500
0.000 0.500 0.500
0.500 0.500 0.000
0.000 0.000 0.000
0.500 0.233 0.244
0.500 0.767 0.756
0.000 0.232 0.749
0.000 0.768 0.251
```

Properties
ρ, g/cm³: 3.54
Energy relative to the elements, uncorrected, kJ/mol of atoms: -170.4
N(E_F), states/eV per cell: 0.0
Total magnetic moment, μB/f.u.: 0.0
DFT total energy, Ry per atom: -0.4182
SG: P2/m (10)